Entry from Alexandria via LeMat-Bulk: a relaxed structure of ReS2N (PBE).

It has space group I-42d (No. 122), with a = 5.251 Å, b = 5.251 Å, c = 9.179 Å, α = 90.00°, β = 90.00° and γ = 90.00°. Symmetry generates all atoms from Re at (0.000, 0.000, 0.000), S at (0.230, 0.250, 0.625) and N at (0.000, 0.000, 0.500).

The value obtained for the calculated total energy is -6.22 eV per atom. The calculated density is 6.94 g/cm3.